Here is crystalline VTeP2O at its relaxed geometry from Alexandria via LeMat-Bulk. Energies are from PBE+U.

Unit cell a=4.8419 b=4.8419 c=3.6479 alpha=90.00 beta=90.00 gamma=90.00
Element x y z (fractional)
V (0.0000, 0.0000, 0.0000)
Te (0.5000, 0.5000, 0.5000)
P (0.0000, 0.5000, 0.0000)
P (0.5000, 0.0000, 0.0000)
O (0.0000, 0.0000, 0.5000)

Calculated values
energy above the lowest structure with this stoichiometry = 0.000 eV/atom
space group = P4/mmm, No. 123